A relaxed structure of BSb2Pt2. Source: the Alexandria database, functional GGA-PBE.

a = 5.7772 Å, b = 5.7772 Å, c = 5.6360 Å
α = 90.00°, β = 90.00°, γ = 90.00°
Last column: nearest neighbours and their distance in Å.
Atoms (fractional coordinates):
1 Sb 0.3039 0.8039 0.5000  2 Pt 2.82, 4 Sb 2.95
2 Sb 0.1961 0.3039 0.5000  2 Pt 2.82, 4 Sb 2.95
3 Sb 0.8039 0.6961 0.5000  2 Pt 2.82, 4 Sb 2.95
4 Sb 0.6961 0.1961 0.5000  2 Pt 2.82, 4 Sb 2.95
5 Pt 0.1744 0.3256 0.0000  2 B 2.13
6 Pt 0.3256 0.8256 0.0000  2 B 2.13
7 Pt 0.6744 0.1744 0.0000  2 B 2.13
8 Pt 0.8256 0.6744 0.0000  2 B 2.13
9 B 0.5000 0.5000 0.0000  4 Pt 2.13
10 B 0.0000 0.0000 0.0000  4 Pt 2.13

ΔE_f (raw)   -0.065 eV per atom
Total magnetic moment   0.00 μB per atom
E   -54.7 eV/cell
V   188 Å³ per cell
Crystal system   tetragonal
Relative energy among the computed polymorphs   0.0000 eV/atom



A relaxed structure of SrPb2IO6. Source: the Alexandria database, functional GGA-PBE.

a = 5.8094 Å, b = 6.5222 Å, c = 8.7238 Å
α = 90.00°, β = 89.43°, γ = 90.00°
Last column: nearest neighbours and their distance in Å.
Atoms (fractional coordinates):
1 O 0.3211 0.7519 0.4306  1 I 2.02
2 O 0.1789 0.2519 0.0694  1 I 2.02
3 O 0.7002 0.3367 0.9828  1 I 2.05
4 O 0.4119 0.9357 0.7217  1 I 2.04
5 O 0.9119 0.5643 0.2217  1 I 2.04
6 O 0.2998 0.6633 0.0172  1 I 2.05
7 O 0.2002 0.1633 0.4828  1 I 2.05
8 O 0.6789 0.2481 0.5694  1 I 2.02
9 O 0.7998 0.8367 0.5172  1 I 2.05
10 O 0.8211 0.7481 0.9306  1 I 2.02
11 O 0.0881 0.4357 0.7783  1 I 2.04
12 O 0.5881 0.0643 0.2783  1 I 2.04
13 Sr 0.0000 0.5000 0.5000  6 O 2.49-2.55
14 Sr 0.5000 0.0000 0.0000  6 O 2.49-2.55
15 Pb 0.4916 0.4470 0.2243  5 O 2.52-2.61
16 Pb 0.9916 0.0530 0.7243  5 O 2.52-2.61
17 Pb 0.5084 0.5530 0.7757  5 O 2.52-2.61
18 Pb 0.0084 0.9470 0.2757  5 O 2.52-2.61
19 I 0.0000 0.5000 0.0000  6 O 2.02-2.05
20 I 0.5000 0.0000 0.5000  6 O 2.02-2.05

ΔE_f (raw)   -1.153 eV per atom
Total magnetic moment   0.08 μB per atom
E   -103.9 eV/cell
V   331 Å³ per cell
Crystal system   monoclinic



A relaxed structure of LiCa2LaFe. Source: the Alexandria database, functional GGA-PBE.

a = 5.4383 Å, b = 5.4383 Å, c = 4.9117 Å
α = 90.00°, β = 90.00°, γ = 90.00°
Last column: nearest neighbours and their distance in Å.
Atoms (fractional coordinates):
1 Ca 0.5000 0.0000 0.0000  2 Li 2.72
2 Ca 0.0000 0.5000 0.0000  2 Li 2.72
3 La 0.5000 0.5000 0.5000  8 Ca 3.66, 4 Fe 3.85
4 Fe 0.0000 0.0000 0.5000  2 Li 2.46
5 Li 0.0000 0.0000 0.0000  2 Fe 2.46, 4 Ca 2.72

Total magnetic moment   0.44 μB per atom
E   -16.3 eV/cell
DFT formation energy   595 meV per atom
V   145 Å³ per cell
Crystal system   tetragonal
Relative energy among the computed polymorphs   0.3784 eV/atom



A relaxed structure of ThBiAu. Source: the Alexandria database, functional GGA-PBE.

a = 3.9303 Å, b = 3.9303 Å, c = 11.7387 Å
α = 99.64°, β = 99.64°, γ = 90.00°
Last column: nearest neighbours and their distance in Å.
Atoms (fractional coordinates):
1 Au 0.5588 0.5588 0.1176  1 Au 2.68
2 Au 0.4412 0.4412 0.8824  1 Au 2.68
3 Bi 0.2927 0.2927 0.5854  4 Th 3.37, 1 Au 3.39, 4 Bi 3.39
4 Bi 0.7073 0.7073 0.4146  4 Th 3.37, 1 Au 3.39, 4 Bi 3.39
5 Th 0.8762 0.8762 0.7523  4 Au 3.15, 4 Bi 3.37
6 Th 0.1238 0.1238 0.2477  4 Au 3.15, 4 Bi 3.37

Total magnetic moment   0.00 μB per atom
E   -31.0 eV/cell
DFT formation energy   -302 meV per atom
V   176 Å³ per cell
Crystal system   tetragonal



A relaxed structure of Er5Ga2Pd2. Source: the Alexandria database, functional GGA-PBE.

a = 7.0925 Å, b = 8.2072 Å, c = 8.5036 Å
α = 118.85°, β = 90.00°, γ = 90.00°
Last column: nearest neighbours and their distance in Å.
Atoms (fractional coordinates):
1 Pd 0.1324 0.6276 0.0000  5 Er 2.81-2.95, 1 Pd 2.81
2 Pd 0.8676 0.3724 0.0000  5 Er 2.81-2.95, 1 Pd 2.81
3 Pd 0.3676 0.1276 0.0000  5 Er 2.81-2.95, 1 Pd 2.81
4 Pd 0.6324 0.8724 0.0000  5 Er 2.81-2.95, 1 Pd 2.81
5 Ga 0.5000 0.7060 0.4120  7 Er 3.02-3.07
6 Ga 0.5000 0.2940 0.5880  7 Er 3.02-3.07
7 Ga 0.0000 0.7940 0.5880  7 Er 3.02-3.07
8 Ga 0.0000 0.2060 0.4120  7 Er 3.02-3.07
9 Er 0.3451 0.9532 0.2678  3 Pd 2.88-3.23, 3 Ga 3.02-3.06
10 Er 0.6549 0.3146 0.2678  3 Pd 2.88-3.23, 3 Ga 3.02-3.06
11 Er 0.1549 0.4532 0.2678  3 Pd 2.88-3.23, 3 Ga 3.02-3.06
12 Er 0.8451 0.5468 0.7322  3 Pd 2.88-3.23, 3 Ga 3.02-3.06
13 Er 0.8451 0.8146 0.2678  3 Pd 2.88-3.23, 3 Ga 3.02-3.06
14 Er 0.1549 0.1854 0.7322  3 Pd 2.88-3.23, 3 Ga 3.02-3.06
15 Er 0.0000 0.0000 0.0000  2 Pd 2.81, 2 Ga 3.07
16 Er 0.6549 0.0468 0.7322  3 Pd 2.88-3.23, 3 Ga 3.02-3.06
17 Er 0.5000 0.5000 0.0000  2 Pd 2.81, 2 Ga 3.07
18 Er 0.3451 0.6854 0.7322  3 Pd 2.88-3.23, 3 Ga 3.02-3.06

Total magnetic moment   0.00 μB per atom
E   -89.8 eV/cell
DFT formation energy   -625 meV per atom
V   434 Å³ per cell
Crystal system   orthorhombic



A relaxed structure of AcSiIr2. Source: the Alexandria database, functional GGA-PBE.

a = 4.1769 Å, b = 4.1769 Å, c = 9.8646 Å
α = 90.00°, β = 90.00°, γ = 90.00°
Last column: nearest neighbours and their distance in Å.
Atoms (fractional coordinates):
1 Ir 0.5000 0.0000 0.8574  1 Si 2.30
2 Ir 0.5000 0.5000 0.5000  4 Si 2.42
3 Ir 0.0000 0.0000 0.5000  4 Si 2.42
4 Ir 0.0000 0.5000 0.1426  1 Si 2.30
5 Si 0.5000 0.0000 0.6237  5 Ir 2.30-2.42
6 Si 0.0000 0.5000 0.3763  5 Ir 2.30-2.42
7 Ac 0.5000 0.0000 0.1936  5 Ir 3.00-3.32
8 Ac 0.0000 0.5000 0.8064  5 Ir 3.00-3.32

ΔE_f (raw)   -0.723 eV per atom
Total magnetic moment   0.00 μB per atom
E   -60.3 eV/cell
V   172 Å³ per cell
Crystal system   tetragonal



A relaxed structure of CdAuCl2. Source: the Alexandria database, functional GGA-PBE.

a = 4.9288 Å, b = 4.9288 Å, c = 4.9288 Å
α = 60.00°, β = 60.00°, γ = 60.00°
Last column: nearest neighbours and their distance in Å.
Atoms (fractional coordinates):
1 Au 0.5000 0.5000 0.5000  4 Cd 3.02, 4 Cl 3.02
2 Cd 0.7500 0.7500 0.7500  4 Cl 3.02, 4 Au 3.02
3 Cl 0.2500 0.2500 0.2500  4 Au 3.02, 4 Cl 3.02
4 Cl 0.0000 0.0000 0.0000  4 Cl 3.02, 4 Cd 3.02

ΔE_f (raw)   0.030 eV per atom
Total magnetic moment   0.00 μB per atom
E   -7.8 eV/cell
V   85 Å³ per cell
Crystal system   cubic
Relative energy among the computed polymorphs   0.4559 eV/atom